Record 1
{
  "formula": "DyCo5P3",
  "functional": "PBE-GGA",
  "state": "optimized geometry",
  "lattice_angstrom": [[-11.1881, 2.6419, -2.1773], [-0.7524, -0.2629, 3.5470], [2.1212, 9.9624, 1.1884]],
  "species": ["Co", "Co", "Co", "Co", "Co", "Co", "Co", "Co", "Co", "Co", "Co", "Co", "Co", "Co", "Co", "Co", "Co", "Co", "Co", "Co", "Dy", "Dy", "Dy", "Dy", "P", "P", "P", "P", "P", "P", "P", "P", "P", "P", "P", "P"],
  "fractional_positions": [[0.4316, 0.2500, 0.0320], [0.9880, 0.2500, 0.0931], [0.3017, 0.7500, 0.1174], [0.5087, 0.7500, 0.2161], [0.1765, 0.2500, 0.2212], [0.6765, 0.2500, 0.2788], [0.0087, 0.7500, 0.2839], [0.8017, 0.7500, 0.3826], [0.4880, 0.2500, 0.4069], [0.9316, 0.2500, 0.4680], [0.0684, 0.7500, 0.5320], [0.5120, 0.7500, 0.5931], [0.1983, 0.2500, 0.6174], [0.9913, 0.2500, 0.7161], [0.3235, 0.7500, 0.7212], [0.8235, 0.7500, 0.7788], [0.4913, 0.2500, 0.7839], [0.6983, 0.2500, 0.8826], [0.0120, 0.7500, 0.9069], [0.5684, 0.7500, 0.9680], [0.7974, 0.7500, 0.0829], [0.2974, 0.7500, 0.4171], [0.7026, 0.2500, 0.5829], [0.2026, 0.2500, 0.9171], [0.6120, 0.2500, 0.0818], [0.1089, 0.7500, 0.1021], [0.3703, 0.2500, 0.2290], [0.8703, 0.2500, 0.2710], [0.6089, 0.7500, 0.3979], [0.1120, 0.2500, 0.4182], [0.8880, 0.7500, 0.5818], [0.3911, 0.2500, 0.6021], [0.1297, 0.7500, 0.7290], [0.6297, 0.7500, 0.7710], [0.8911, 0.2500, 0.8979], [0.3880, 0.7500, 0.9182]],
  "sg": "Pnma, No. 62",
  "energy_ev_per_cell": -255.704,
  "m_tot_mub_per_cell": 2.006
}


Record 2
{
  "formula": "Cu7Ag3",
  "functional": "PBE-GGA",
  "state": "optimized geometry",
  "lattice_angstrom": [[7.3209, -1.3869, 0.0000], [7.3209, 1.3869, 0.0000], [-1.6608, 0.0000, 6.7466]],
  "species": ["Ag", "Ag", "Ag", "Cu", "Cu", "Cu", "Cu", "Cu", "Cu", "Cu"],
  "fractional_positions": [[0.5947, 0.5947, 0.2729], [0.2066, 0.2066, 0.6015], [0.5956, 0.5956, 0.8215], [0.2177, 0.2177, 0.1120], [0.4001, 0.4001, 0.2040], [0.8104, 0.8104, 0.3965], [0.9927, 0.9927, 0.4975], [0.3974, 0.3974, 0.6935], [0.8058, 0.8058, 0.9137], [0.9789, 0.9789, 0.9869]],
  "sg": "Cm, No. 8",
  "ef_kj_per_mol_fu": 72,
  "energy_ev_per_cell": -33.747
}


Record 3
{
  "formula": "RbGdMgS3",
  "functional": "PBE-GGA",
  "state": "optimized geometry",
  "lattice_angstrom": [[-6.1028, 2.9372, 3.7147], [4.6342, -6.0237, -1.3819], [6.4630, 3.0984, 8.1680]],
  "species": ["Gd", "Gd", "Mg", "Mg", "Rb", "Rb", "S", "S", "S", "S", "S", "S"],
  "fractional_positions": [[0.0000, 0.0000, 0.0000], [0.0000, 0.0000, 0.5000], [0.5340, 0.4660, 0.2500], [0.4660, 0.5340, 0.7500], [0.2572, 0.7428, 0.2500], [0.7428, 0.2572, 0.7500], [0.6173, 0.3827, 0.0606], [0.9422, 0.0578, 0.2500], [0.6173, 0.3827, 0.4394], [0.3827, 0.6173, 0.5606], [0.0578, 0.9422, 0.7500], [0.3827, 0.6173, 0.9394]],
  "sg": "Cmcm, No. 63",
  "energy_ev_per_cell": -59.208,
  "m_tot_mub_per_cell": 0.003
}